This record from Alexandria via LeMat-Bulk describes a relaxed CeNd8Ga6 crystal. The functional is PBE-GGA.

a = 8.8747 Å, b = 8.8747 Å, c = 19.0000 Å
α = 90.00°, β = 90.00°, γ = 120.00°
Space group R-3 (No. 148, hexagonal axes)
One atom of each set of equivalent atoms:
Ce 0.0000 0.0000 0.0000 x3
Nd 0.0000 0.0000 0.3319 x6
Nd 0.0024 0.6723 0.1137 x18
Ga 0.0002 0.3335 0.0557 x18

Properties
Formation energy from the elements: -339 meV per atom
Calculated volume: 432 Å³/f.u.
DFT total energy: -4.49 eV/atom
Magnetization: 0.65 μB/f.u.